# SiTe2RhN (meta-GGA SCAN, PBEsol geometry)
# - energy relative to the elements, uncorrected (eV/atom) = 0.56
# - electronic total energy (eV/cell) = -124.8
data_SiTe2RhN
_cell_length_a 5.3674
_cell_length_b 5.3674
_cell_length_c 3.5970
_cell_angle_alpha 90.00
_cell_angle_beta 90.00
_cell_angle_gamma 90.00
_space_group_name_H-M_alt 'P 4/m m m'
_space_group_IT_number 123
_space_group_name_Hall '-P 4 2'
loop_
_atom_site_label
_atom_site_type_symbol
_atom_site_fract_x
_atom_site_fract_y
_atom_site_fract_z
_atom_site_occupancy
Si1 Si 0.0000 0.0000 0.0000 1
Te1 Te 0.0000 0.5000 0.5000 1
Rh1 Rh 0.5000 0.5000 0.5000 1
N1 N 0.5000 0.5000 0.0000 1

=====

# YSc2Fe (meta-GGA SCAN, PBEsol geometry)
# - DFT formation energy (eV per formula unit) = 0.335
# - ΔE to the lowest computed polymorph (eV per atom) = 0.079
# - electronic total energy (eV/cell) = -74.1
data_YSc2Fe
_cell_length_a 3.1970
_cell_length_b 3.1970
_cell_length_c 8.2096
_cell_angle_alpha 90.00
_cell_angle_beta 90.00
_cell_angle_gamma 90.00
_space_group_name_H-M_alt 'P 4 m m'
_space_group_IT_number 99
_space_group_name_Hall 'P 4 -2'
loop_
_atom_site_label
_atom_site_type_symbol
_atom_site_fract_x
_atom_site_fract_y
_atom_site_fract_z
_atom_site_occupancy
Y1 Y 0.0000 0.0000 0.0000 1
Sc1 Sc 0.0000 0.0000 0.6260 1
Sc2 Sc 0.5000 0.5000 0.3293 1
Fe1 Fe 0.5000 0.5000 0.7950 1

=====

# Ag2TeN (meta-GGA SCAN, PBEsol geometry)
# - energy relative to the elements, uncorrected (eV/atom) = 1.11
# - electronic total energy (eV/cell) = -419.3
data_Ag2TeN
_cell_length_a 6.4934
_cell_length_b 6.4934
_cell_length_c 6.4934
_cell_angle_alpha 90.00
_cell_angle_beta 90.00
_cell_angle_gamma 90.00
_space_group_name_H-M_alt 'F m -3 m'
_space_group_IT_number 225
_space_group_name_Hall '-F 4 2 3'
loop_
_atom_site_label
_atom_site_type_symbol
_atom_site_fract_x
_atom_site_fract_y
_atom_site_fract_z
_atom_site_occupancy
Ag1 Ag 0.2500 0.2500 0.2500 1
Te1 Te 0.0000 0.0000 0.0000 1
N1 N 0.0000 0.0000 0.5000 1

=====

# Si3BSe (meta-GGA SCAN, PBEsol geometry)
# - energy relative to the elements, uncorrected (eV/atom) = 2.16
# - ΔE to the lowest computed polymorph (eV per atom) = 1.289
# - electronic total energy (eV/cell) = -46.7
data_Si3BSe
_cell_length_a 4.7874
_cell_length_b 4.7874
_cell_length_c 4.7874
_cell_angle_alpha 90.00
_cell_angle_beta 90.00
_cell_angle_gamma 90.00
_space_group_name_H-M_alt 'P m -3 m'
_space_group_IT_number 221
_space_group_name_Hall '-P 4 2 3'
loop_
_atom_site_label
_atom_site_type_symbol
_atom_site_fract_x
_atom_site_fract_y
_atom_site_fract_z
_atom_site_occupancy
Si1 Si 0.0000 0.0000 0.5000 1
B1 B 0.5000 0.5000 0.5000 1
Se1 Se 0.0000 0.0000 0.0000 1

=====

no.,density (g/cm³)
1,6.4
2,4.6
3,8.7
4,2.6